*w*
# Si2Pb

A PBEsol-optimized structure of Si2Pb (meta-GGA SCAN, the Alexandria database).

Properties
DOS at the Fermi energy = 2.06 states/eV per cell

Cell: 4.726 4.726 4.726 Å, 60.00 60.00 60.00°
Fractional positions:
Si 0.250 0.250 0.250
Si 0.750 0.750 0.750
Pb 0.000 0.000 0.000

*x*
# Si2Pb

A PBEsol-optimized structure of Si2Pb (meta-GGA SCAN, the Alexandria database).

Properties
DOS at the Fermi energy = 2.44 states/eV per cell

Cell: 6.534 6.534 5.412 Å, 90.00 90.00 146.37°
Fractional positions:
Si 0.014 0.986 0.750
Si 0.370 0.630 0.250
Si 0.630 0.370 0.750
Si 0.986 0.014 0.250
Pb 0.319 0.681 0.750
Pb 0.681 0.319 0.250

*y*
# Si2Pb

A PBEsol-optimized structure of Si2Pb (meta-GGA SCAN, the Alexandria database).

Properties
DOS at the Fermi energy = 2.97 states/eV per cell

Cell: 5.020 5.020 5.647 Å, 90.00 90.00 120.00°
Fractional positions:
Si 0.000 0.000 0.000
Si 0.000 0.000 0.500
Si 0.333 0.667 0.250
Si 0.667 0.333 0.750
Pb 0.333 0.667 0.750
Pb 0.667 0.333 0.250

Which one sits at the bottom of the stability order? *w* does.

*w*
# Sr2SiPb

A PBEsol-optimized structure of Sr2SiPb (meta-GGA SCAN, the Alexandria database).

Properties
DOS at the Fermi energy = 1.57 states/eV per cell

Cell: 3.541 4.410 7.403 Å, 90.00 90.00 90.00°
Fractional positions:
Sr 0.000 0.000 0.228
Sr 0.000 0.000 0.772
Si 0.500 0.500 0.000
Pb 0.500 0.500 0.500

*x*
# Sr2SiPb

A PBEsol-optimized structure of Sr2SiPb (meta-GGA SCAN, the Alexandria database).

Properties
DOS at the Fermi energy = 1.98 states/eV per cell

Cell: 5.522 5.522 5.522 Å, 60.00 60.00 60.00°
Fractional positions:
Sr 0.250 0.250 0.250
Sr 0.750 0.750 0.750
Si 0.000 0.000 0.000
Pb 0.500 0.500 0.500

*y*
# Sr2SiPb

A PBEsol-optimized structure of Sr2SiPb (meta-GGA SCAN, the Alexandria database).

Properties
DOS at the Fermi energy = 3.39 states/eV per cell

Cell: 6.362 6.362 6.362 Å, 136.94 136.94 62.54°
Fractional positions:
Sr 0.000 0.000 0.000
Sr 0.750 0.250 0.500
Si 0.250 0.750 0.500
Pb 0.500 0.500 0.000

Which one sits at the bottom of the stability order? *y* does.

*w*
# Si2TePb

A PBEsol-optimized structure of Si2TePb (meta-GGA SCAN, the Alexandria database).

Properties
DOS at the Fermi energy = 1.11 states/eV per cell

Cell: 4.431 3.801 5.964 Å, 90.00 104.66 90.00°
Fractional positions:
Si 0.000 0.000 0.000
Si 0.310 0.500 0.966
Te 0.798 0.500 0.314
Pb 0.466 0.000 0.626

*x*
# Si2TePb

A PBEsol-optimized structure of Si2TePb (meta-GGA SCAN, the Alexandria database).

Properties
DOS at the Fermi energy = 1.62 states/eV per cell

Cell: 5.080 3.845 5.285 Å, 90.00 103.76 90.00°
Fractional positions:
Si 0.177 0.000 0.191
Si 0.823 0.000 0.809
Te 0.000 0.500 0.500
Pb 0.500 0.500 0.000

Which one sits at the bottom of the stability order? *x* does.

*w*
# SiTe2Pb

A PBEsol-optimized structure of SiTe2Pb (meta-GGA SCAN, the Alexandria database).

Properties
DOS at the Fermi energy = 1.53 states/eV per cell

Cell: 7.678 7.678 4.190 Å, 105.10 105.10 28.48°
Fractional positions:
Si 0.000 0.000 0.000
Te 0.347 0.347 0.897
Te 0.562 0.562 0.631
Pb 0.738 0.738 0.278

*x*
# SiTe2Pb

A PBEsol-optimized structure of SiTe2Pb (meta-GGA SCAN, the Alexandria database).

Properties
DOS at the Fermi energy = 1.67 states/eV per cell

Cell: 4.020 3.832 7.387 Å, 90.00 105.01 90.00°
Fractional positions:
Si 0.000 0.000 0.000
Te 0.356 0.500 0.235
Te 0.644 0.500 0.765
Pb 0.000 0.000 0.500

Which one sits at the bottom of the stability order? *x* does.